Entry 1:
# PBE-GGA LiTc4Os, optimized geometry
# Calculated total energy = -208.1 eV/cell
# Energy of formation = 431 meV per atom
data_LiTc4Os
_chemical_formula_sum 'Li4 Tc16 Os4'
_cell_length_a 7.1517
_cell_length_b 7.1517
_cell_length_c 7.1517
_cell_angle_alpha 90.00
_cell_angle_beta 90.00
_cell_angle_gamma 90.00
_symmetry_space_group_name_H-M 'F -4 3 m'
_symmetry_Int_Tables_number 216
_symmetry_space_group_name_Hall 'F -4 2 3'
loop_
_atom_site_label
_atom_site_type_symbol
_atom_site_fract_x
_atom_site_fract_y
_atom_site_fract_z
Li1 Li 0.0000 0.0000 0.0000
Tc1 Tc 0.1260 0.1260 0.3740
Os1 Os 0.2500 0.2500 0.7500

=====

Entry 2:
# PBE-GGA LiTcOs2, optimized geometry
# Calculated total energy = -33.2 eV/cell
# E above lowest polymorph = 258 meV per atom
# Energy of formation = 395 meV per atom
data_LiTcOs2
_chemical_formula_sum 'Li1 Tc1 Os2'
_cell_length_a 4.3879
_cell_length_b 4.3879
_cell_length_c 2.8607
_cell_angle_alpha 90.00
_cell_angle_beta 90.00
_cell_angle_gamma 90.00
_symmetry_space_group_name_H-M 'P 4/m m m'
_symmetry_Int_Tables_number 123
_symmetry_space_group_name_Hall '-P 4 2'
loop_
_atom_site_label
_atom_site_type_symbol
_atom_site_fract_x
_atom_site_fract_y
_atom_site_fract_z
Li1 Li 0.0000 0.0000 0.0000
Tc1 Tc 0.5000 0.5000 0.0000
Os1 Os 0.0000 0.5000 0.5000

=====

Entry 3:
# PBE-GGA LiTcOs2, optimized geometry
# Calculated total energy = -66.0 eV/cell
# E above lowest polymorph = 294 meV per atom
# Energy of formation = 431 meV per atom
data_LiTcOs2
_chemical_formula_sum 'Li2 Tc2 Os4'
_cell_length_a 2.7853
_cell_length_b 4.5300
_cell_length_c 9.2693
_cell_angle_alpha 90.00
_cell_angle_beta 90.00
_cell_angle_gamma 90.00
_symmetry_space_group_name_H-M 'C m m 2'
_symmetry_Int_Tables_number 35
_symmetry_space_group_name_Hall 'C 2 -2'
loop_
_atom_site_label
_atom_site_type_symbol
_atom_site_fract_x
_atom_site_fract_y
_atom_site_fract_z
Li1 Li 0.0000 0.0000 0.0000
Tc1 Tc 0.0000 0.5000 0.2588
Os1 Os 0.0000 0.0000 0.5018
Os2 Os 0.0000 0.5000 0.7521

=====

no.,Fermi-level density of states (states/eV per cell)
1,22.72
2,3.53
3,8.75